No. 1
{"formula": "NaLaTeN2", "functional": "PBEsol", "state": "optimized geometry", "cell": [[4.475, 0.000, 0.000], [0.000, 4.475, 0.000], [0.000, 0.000, 6.502]], "species": ["Na", "N", "N", "Te", "La"], "fractional_positions": [[0.500, 0.500, 0.500], [0.000, 0.500, 0.000], [0.500, 0.000, 0.000], [0.000, 0.000, 0.500], [0.000, 0.000, 0.000]], "e_tot_ev_per_cell": -24.99, "sg": "P4/mmm (123)"}

No. 2
{"formula": "La3Nb2N6", "functional": "PBEsol", "state": "optimized geometry", "cell": [[4.067, 0.000, 0.000], [0.000, 4.067, 0.000], [-2.034, -2.034, 9.955]], "species": ["Nb", "Nb", "La", "La", "La", "N", "N", "N", "N", "N", "N"], "fractional_positions": [[0.601, 0.601, 0.202], [0.399, 0.399, 0.798], [0.000, 0.000, 0.000], [0.180, 0.180, 0.359], [0.820, 0.820, 0.641], [0.916, 0.416, 0.832], [0.416, 0.916, 0.832], [0.084, 0.584, 0.168], [0.584, 0.084, 0.168], [0.301, 0.301, 0.602], [0.699, 0.699, 0.398]], "e_tot_ev_per_cell": -104.65, "sg": "I4/mmm (139)"}

No. 3
{"formula": "La2Nb2N2O5", "functional": "PBEsol", "state": "optimized geometry", "cell": [[-3.106, 0.863, -2.310], [-0.456, -5.582, -1.472], [-6.833, -2.381, 11.702]], "species": ["Nb", "Nb", "Nb", "Nb", "N", "N", "N", "N", "O", "O", "O", "O", "O", "O", "O", "O", "O", "O", "La", "La", "La", "La"], "fractional_positions": [[0.057, 0.037, 0.113], [0.155, 0.543, 0.311], [0.837, 0.045, 0.675], [0.944, 0.541, 0.887], [0.096, 0.302, 0.191], [0.107, 0.782, 0.215], [0.788, 0.273, 0.577], [0.907, 0.807, 0.815], [0.012, 0.676, 0.023], [0.213, 0.767, 0.426], [0.212, 0.281, 0.423], [0.458, 0.488, 0.915], [0.350, 0.026, 0.700], [0.542, 0.983, 0.084], [0.789, 0.791, 0.578], [0.654, 0.496, 0.308], [0.896, 0.281, 0.792], [0.990, 0.178, 0.979], [0.283, 0.528, 0.566], [0.443, 0.055, 0.886], [0.555, 0.553, 0.110], [0.713, 0.046, 0.427]], "e_tot_ev_per_cell": -206.60, "polymorph_energy_ev_per_fu": 0.12, "sg": "Cm (8)"}

No. 4
{"formula": "La2Nb2N2O5", "functional": "PBEsol", "state": "optimized geometry", "cell": [[-1.938, 0.282, 7.260], [7.046, -1.861, -1.927], [0.571, 6.378, -3.976]], "species": ["La", "La", "La", "La", "Nb", "Nb", "Nb", "Nb", "N", "N", "N", "N", "O", "O", "O", "O", "O", "O", "O", "O", "O", "O"], "fractional_positions": [[0.746, 0.121, 0.374], [0.252, 0.632, 0.373], [0.748, 0.627, 0.368], [0.254, 0.626, 0.879], [0.229, 0.102, 0.864], [0.735, 0.621, 0.864], [0.265, 0.136, 0.379], [0.771, 0.136, 0.898], [0.003, 0.807, 0.810], [0.500, 0.443, 0.557], [0.500, 0.752, 0.248], [0.997, 0.190, 0.193], [0.401, 0.199, 0.196], [0.000, 0.201, 0.799], [0.000, 0.795, 0.205], [0.599, 0.804, 0.801], [0.000, 0.498, 0.502], [0.500, 0.456, 0.953], [0.107, 0.051, 0.553], [0.500, 0.058, 0.942], [0.893, 0.447, 0.949], [0.500, 0.047, 0.544]], "e_tot_ev_per_cell": -206.38, "polymorph_energy_ev_per_fu": 0.23, "sg": "C2 (5)"}

Number 1: calculated volume 130 Å³/f.u., magnetization 0.5937 μB/atom, formation energy from raw total energies 0.467 eV per atom. Number 2: calculated volume 165 Å³/f.u., magnetization 0.0000 μB/atom, formation energy from raw total energies -1.437 eV per atom. Number 3: calculated volume 156 Å³/f.u., magnetization 0.0000 μB/atom, formation energy from raw total energies -2.515 eV per atom. Number 4: calculated volume 152 Å³/f.u., magnetization 0.0000 μB/atom, formation energy from raw total energies -2.505 eV per atom.